! PBE MnCoW2, relaxed; values from VASP
&SYSTEM
  ibrav = 0, nat = 4, ntyp = 3
/
ATOMIC_SPECIES
Mn 54.94 Mn.upf
Co 58.93 Co.upf
W 183.84 W.upf
ATOMIC_POSITIONS angstrom
Mn 0.0000 0.0000 0.0000
Co 0.0000 0.0000 2.7643
W 1.5633 1.5633 1.3882
W 1.5633 1.5633 4.1404
CELL_PARAMETERS angstrom
3.1267 0.0000 0.0000
0.0000 3.1267 0.0000
0.0000 0.0000 5.5286
! Space group: P4/mmm
! ΔE to the lowest computed polymorph (kJ/mol of formula units): 29
! E_tot (eV per formula unit): -41.357
! Energy relative to the elements (eV per atom): 0.206

***

! PBE NbBiN2O, relaxed; values from VASP
&SYSTEM
  ibrav = 0, nat = 5, ntyp = 4
/
ATOMIC_SPECIES
Nb 92.91 Nb.upf
Bi 208.98 Bi.upf
N 14.01 N.upf
O 16.00 O.upf
ATOMIC_POSITIONS angstrom
Nb 0.0000 0.0000 0.0000
Bi 2.0909 2.0909 1.9743
N 0.0000 2.0909 0.0000
N 2.0909 0.0000 0.0000
O 0.0000 0.0000 1.9743
CELL_PARAMETERS angstrom
4.1818 0.0000 0.0000
0.0000 4.1818 0.0000
0.0000 0.0000 3.9485
! Space group: P4/mmm
! E_tot (eV per formula unit): -37.791
! E_form (uncorrected) (meV/atom): -446

***

! PBE LaBe2Ni2, relaxed; values from VASP
&SYSTEM
  ibrav = 0, nat = 10, ntyp = 3
/
ATOMIC_SPECIES
La 138.91 La.upf
Be 9.01 Be.upf
Ni 58.69 Ni.upf
ATOMIC_POSITIONS angstrom
La 0.0000 0.0000 0.0000
La 3.4824 3.4824 0.0000
Be 0.8184 2.6640 1.4390
Be 2.6640 6.1464 1.4390
Be 4.3008 0.8184 1.4390
Be 6.1464 4.3008 1.4390
Ni 0.9641 4.4465 0.0000
Ni 2.5183 0.9641 0.0000
Ni 4.4465 6.0007 0.0000
Ni 6.0007 2.5183 0.0000
CELL_PARAMETERS angstrom
6.9648 0.0000 0.0000
0.0000 6.9648 0.0000
0.0000 0.0000 2.8781
! Space group: P4/mbm
! ΔE to the lowest computed polymorph (kJ/mol of formula units): 106
! E_tot (eV per formula unit): -23.900
! Energy relative to the elements (eV per atom): 0.008

***

| no. | size of the total moment (μB/f.u.) |
| --- | --- |
| 1 | 0.29 |
| 2 | 0.00 |
| 3 | 0.00 |